Entry 1:
Below is TaBe2In after structural relaxation, with properties calculated at the PBE level.

Cell lengths 2.951, 2.951, 6.652 Å; angles 90.00, 90.00, 90.00 degrees
Fractional coordinates of all 4 atoms:
Be 0.000 0.000 0.047
Be 0.500 0.500 0.186
In 0.000 0.000 0.465
Ta 0.500 0.500 0.801

## Properties
ΔH_f (0 K) = 0.27 eV per atom
space-group type = P4mm
N(E_F) = 0.41 states/eV per atom
crystal system = tetragonal

=====

Entry 2:
Below is NpPaCuNi after structural relaxation, with properties calculated at the PBE level.

Cell lengths 4.608, 4.608, 4.608 Å; angles 60.00, 60.00, 60.00 degrees
Each line ends with the local moment (μB).
Fractional coordinates of all 4 atoms:
Np 0.500 0.500 0.500  3.77
Ni 0.250 0.250 0.250  0.00
Pa 0.750 0.750 0.750  1.17
Cu 0.000 0.000 0.000  0.05

## Properties
ΔH_f (0 K) = -0.02 eV per atom
space-group type = F-43m
N(E_F) = 1.28 states/eV per atom
crystal system = cubic

=====

Entry 3:
Below is Hf3SeN after structural relaxation, with properties calculated at the PBE level.

Cell lengths 5.783, 7.994, 7.994 Å; angles 78.21, 83.76, 83.76 degrees
Fractional coordinates of all 20 atoms:
Hf 0.549 0.182 0.012
Hf 0.049 0.012 0.182
Hf 0.951 0.988 0.818
Hf 0.451 0.818 0.988
Hf 0.947 0.313 0.499
Hf 0.447 0.499 0.313
Hf 0.553 0.501 0.687
Hf 0.053 0.687 0.501
Hf 0.944 0.659 0.145
Hf 0.444 0.145 0.659
Hf 0.556 0.855 0.341
Hf 0.056 0.341 0.855
Se 0.833 0.336 0.172
Se 0.333 0.172 0.336
Se 0.667 0.828 0.664
Se 0.167 0.664 0.828
N 0.250 0.760 0.240
N 0.250 0.076 0.924
N 0.750 0.240 0.760
N 0.750 0.924 0.076

## Properties
formation energy without anion corrections = -1.00 eV per atom
space-group type = C2/c
N(E_F) = 0.61 states/eV per atom
energy relative to the lowest polymorph listed for this composition = 0 meV/atom
crystal system = monoclinic